1.
First-principles (PBE-GGA) data for crystalline Zr3TiTl at its relaxed geometry, as listed in Alexandria.

E above lowest polymorph = 265 meV per atom

Unit cell a=4.977 b=4.977 c=4.977 alpha=90.00 beta=90.00 gamma=90.00
Positions (direct):
Tl 0.500 0.500 0.500
Zr 0.000 0.500 0.000
Zr 0.000 0.000 0.500
Zr 0.500 0.000 0.000
Ti 0.000 0.000 0.000

=====

2.
First-principles (PBE-GGA) data for crystalline Zr5TiTl3 at its relaxed geometry, as listed in Alexandria.

Unit cell a=6.020 b=8.784 c=8.784 alpha=120.00 beta=90.00 gamma=90.00
Positions (direct):
Zr 0.000 0.667 0.333
Zr 0.500 0.333 0.667
Zr 0.000 0.333 0.667
Zr 0.500 0.667 0.333
Zr 0.750 0.665 0.665
Zr 0.750 0.000 0.335
Zr 0.750 0.335 0.000
Zr 0.250 0.335 0.335
Zr 0.250 0.000 0.665
Zr 0.250 0.665 0.000
Ti 0.000 0.000 0.000
Ti 0.500 0.000 0.000
Tl 0.750 0.329 0.329
Tl 0.750 0.000 0.671
Tl 0.750 0.671 0.000
Tl 0.250 0.671 0.671
Tl 0.250 0.000 0.329
Tl 0.250 0.329 0.000

=====

3.
First-principles (PBE-GGA) data for crystalline Zr3TiTl at its relaxed geometry, as listed in Alexandria.

E above lowest polymorph = 0 meV per atom

Unit cell a=5.412 b=7.037 c=7.037 alpha=119.94 beta=90.00 gamma=90.00
Positions (direct):
Zr 0.250 0.807 0.193
Zr 0.750 0.193 0.807
Zr 0.250 0.807 0.615
Zr 0.750 0.193 0.385
Zr 0.250 0.385 0.193
Zr 0.750 0.615 0.807
Ti 0.000 0.000 0.000
Ti 0.500 0.000 0.000
Tl 0.250 0.333 0.667
Tl 0.750 0.667 0.333

=====

4.
First-principles (PBE-GGA) data for crystalline ZrTiTl3 at its relaxed geometry, as listed in Alexandria.

E above lowest polymorph = 0 meV per atom

Unit cell a=5.228 b=5.228 c=5.228 alpha=90.00 beta=90.00 gamma=90.00
Positions (direct):
Tl 0.000 0.500 0.000
Tl 0.000 0.000 0.500
Tl 0.500 0.000 0.000
Zr 0.500 0.500 0.500
Ti 0.000 0.000 0.000

=====

5.
First-principles (PBE-GGA) data for crystalline ZrTiTl2 at its relaxed geometry, as listed in Alexandria.

E above lowest polymorph = 369 meV per atom

Unit cell a=4.323 b=4.323 c=6.706 alpha=71.20 beta=71.20 gamma=60.00
Positions (direct):
Zr 0.671 0.671 0.987
Ti 0.493 0.493 0.520
Tl 0.087 0.087 0.739
Tl 0.249 0.249 0.254

=====

6.
First-principles (PBE-GGA) data for crystalline Zr6TiTl5 at its relaxed geometry, as listed in Alexandria.

Unit cell a=5.396 b=6.415 c=9.188 alpha=90.00 beta=57.93 gamma=90.00
Positions (direct):
Tl 0.669 0.500 0.664
Tl 0.353 0.000 0.325
Tl 0.000 0.500 0.000
Tl 0.647 0.000 0.675
Tl 0.331 0.500 0.336
Zr 0.837 0.754 0.329
Zr 0.837 0.246 0.329
Zr 0.500 0.243 0.000
Zr 0.500 0.757 0.000
Zr 0.163 0.754 0.671
Zr 0.163 0.246 0.671
Ti 0.000 0.000 0.000

=====

7.
First-principles (PBE-GGA) data for crystalline Zr3TiTl at its relaxed geometry, as listed in Alexandria.

E above lowest polymorph = 910 meV per atom

Unit cell a=5.316 b=5.316 c=5.316 alpha=90.00 beta=90.00 gamma=90.00
Positions (direct):
Tl 0.000 0.000 0.000
Zr 0.000 0.500 0.000
Zr 0.000 0.000 0.500
Zr 0.500 0.000 0.000
Ti 0.500 0.500 0.500

=====

8.
First-principles (PBE-GGA) data for crystalline ZrTi2Tl at its relaxed geometry, as listed in Alexandria.

E above lowest polymorph = 483 meV per atom

Unit cell a=7.663 b=7.663 c=6.147 alpha=51.45 beta=51.45 gamma=90.00
Positions (direct):
Tl 0.000 0.000 0.000
Tl 0.750 0.250 0.500
Zr 0.500 0.500 0.000
Zr 0.250 0.750 0.500
Ti 0.629 0.125 0.250
Ti 0.121 0.625 0.250
Ti 0.375 0.371 0.750
Ti 0.875 0.879 0.750

=====

9.
First-principles (PBE-GGA) data for crystalline ZrTi2Tl at its relaxed geometry, as listed in Alexandria.

E above lowest polymorph = 134 meV per atom

Unit cell a=3.151 b=3.151 c=9.859 alpha=80.80 beta=80.80 gamma=60.00
Positions (direct):
Zr 0.667 0.667 0.999
Ti 0.082 0.082 0.754
Ti 0.251 0.251 0.246
Tl 0.500 0.500 0.500

=====

10.
First-principles (PBE-GGA) data for crystalline ZrTiTl2 at its relaxed geometry, as listed in Alexandria.

E above lowest polymorph = 0 meV per atom

Unit cell a=3.162 b=3.162 c=8.604 alpha=90.00 beta=90.00 gamma=90.00
Positions (direct):
Tl 0.000 0.000 0.762
Tl 0.000 0.000 0.238
Zr 0.500 0.500 0.500
Ti 0.500 0.500 0.000

=====

11.
First-principles (PBE-GGA) data for crystalline ZrTiTl2 at its relaxed geometry, as listed in Alexandria.

E above lowest polymorph = 256 meV per atom

Unit cell a=7.841 b=7.841 c=6.330 alpha=51.73 beta=51.73 gamma=90.00
Positions (direct):
Tl 0.610 0.125 0.250
Tl 0.140 0.625 0.250
Tl 0.375 0.390 0.750
Tl 0.875 0.860 0.750
Zr 0.000 0.000 0.000
Zr 0.750 0.250 0.500
Ti 0.500 0.500 0.000
Ti 0.250 0.750 0.500

=====

12.
First-principles (PBE-GGA) data for crystalline Zr4TiTl at its relaxed geometry, as listed in Alexandria.

Unit cell a=5.218 b=5.590 c=5.975 alpha=91.07 beta=64.11 gamma=62.17
Positions (direct):
Zr 0.652 0.694 0.003
Zr 0.348 0.306 0.997
Zr 0.151 0.177 0.521
Zr 0.849 0.823 0.479
Ti 0.000 0.000 0.000
Tl 0.500 0.500 0.500

=====

13.
First-principles (PBE-GGA) data for crystalline ZrTi2Tl at its relaxed geometry, as listed in Alexandria.

E above lowest polymorph = 103 meV per atom

Unit cell a=4.794 b=4.794 c=4.794 alpha=60.00 beta=60.00 gamma=60.00
Positions (direct):
Tl 0.500 0.500 0.500
Zr 0.000 0.000 0.000
Ti 0.250 0.250 0.250
Ti 0.750 0.750 0.750

=====

14.
First-principles (PBE-GGA) data for crystalline ZrTiTl at its relaxed geometry, as listed in Alexandria.

E above lowest polymorph = 230 meV per atom

Unit cell a=3.003 b=4.943 c=4.943 alpha=120.00 beta=90.00 gamma=90.00
Positions (direct):
Tl 0.667 0.667 0.333
Zr 0.166 0.000 0.000
Ti 0.167 0.333 0.667

=====

15.
First-principles (PBE-GGA) data for crystalline ZrTi2Tl at its relaxed geometry, as listed in Alexandria.

E above lowest polymorph = 0 meV per atom

Unit cell a=4.221 b=4.324 c=4.324 alpha=90.00 beta=90.00 gamma=90.00
Positions (direct):
Tl 0.500 0.500 0.500
Zr 0.500 0.000 0.000
Ti 0.000 0.000 0.500
Ti 0.000 0.500 0.000

=====

16.
First-principles (PBE-GGA) data for crystalline Zr6TiTl at its relaxed geometry, as listed in Alexandria.

Unit cell a=4.434 b=4.434 c=9.083 alpha=90.00 beta=90.00 gamma=90.00
Positions (direct):
Zr 0.500 0.500 0.000
Zr 0.500 0.500 0.500
Zr 0.500 0.000 0.259
Zr 0.500 0.000 0.741
Zr 0.000 0.500 0.259
Zr 0.000 0.500 0.741
Ti 0.000 0.000 0.500
Tl 0.000 0.000 0.000

=====

17.
First-principles (PBE-GGA) data for crystalline ZrTiTl at its relaxed geometry, as listed in Alexandria.

E above lowest polymorph = 90 meV per atom

Unit cell a=3.188 b=5.829 c=8.113 alpha=112.54 beta=90.00 gamma=105.87
Positions (direct):
Tl 0.368 0.735 0.328
Tl 0.632 0.265 0.672
Zr 0.624 0.247 0.284
Zr 0.376 0.753 0.716
Ti 0.878 0.756 0.024
Ti 0.122 0.244 0.976

=====

18.
First-principles (PBE-GGA) data for crystalline ZrTiTl at its relaxed geometry, as listed in Alexandria.

E above lowest polymorph = 0 meV per atom

Unit cell a=4.103 b=4.103 c=7.747 alpha=90.01 beta=89.99 gamma=90.00
Positions (direct):
Zr 0.750 0.250 0.342
Zr 0.250 0.750 0.658
Ti 0.750 0.750 0.000
Ti 0.250 0.250 0.000
Tl 0.250 0.750 0.270
Tl 0.750 0.250 0.730

=====

19.
First-principles (PBE-GGA) data for crystalline Tm3Ti at its relaxed geometry, as listed in Alexandria.

Unit cell a=3.416 b=5.875 c=6.309 alpha=117.75 beta=105.71 gamma=90.00
Positions (direct):
Tm 0.266 0.608 0.533
Tm 0.500 0.478 0.000
Tm 0.734 0.076 0.467
Ti 0.000 0.005 0.000

=====

20.
First-principles (PBE-GGA) data for crystalline TmTi2 at its relaxed geometry, as listed in Alexandria.

Unit cell a=3.504 b=3.504 c=5.841 alpha=107.45 beta=107.45 gamma=90.00
Positions (direct):
Tm 0.000 0.000 0.000
Ti 0.697 0.697 0.394
Ti 0.303 0.303 0.606

=====

| no. | energy relative to the elements (kJ/mol of formula units) |
| --- | --- |
| 1 | 333 |
| 2 | -34 |
| 3 | 205 |
| 4 | 374 |
| 5 | 157 |
| 6 | -57 |
| 7 | 644 |
| 8 | 186 |
| 9 | 51 |
| 10 | 15 |
| 11 | 114 |
| 12 | 57 |
| 13 | 39 |
| 14 | 69 |
| 15 | -1 |
| 16 | -19 |
| 17 | 28 |
| 18 | 2 |
| 19 | 59 |
| 20 | 46 |